# 1
This record from Alexandria describes crystalline Tc3SeO at its relaxed geometry. The functional is PBE.

abc: 4.126 4.126 4.126
angles: 90.00 90.00 90.00
Last column: magnetic moment on the atom in μB.
Sites, in units of the cell vectors:
1 O 0.000 0.000 0.000  0.00
2 Tc 0.000 0.500 0.000  0.36
3 Tc 0.000 0.000 0.500  0.24
4 Tc 0.500 0.000 0.000  0.33
5 Se 0.500 0.500 0.500  -0.02

Values from the calculation:
The calculation puts the energy above the most stable polymorph in this dataset at 0 meV per atom. As for the final energy: -7.533 eV per atom. The value obtained for the formation energy without anion corrections is 0.375 eV/atom.

=====

# 2
This record from Alexandria describes crystalline LiCdRe2 at its relaxed geometry. The functional is PBE.

abc: 2.667 2.667 9.551
angles: 90.00 90.00 109.84
Sites, in units of the cell vectors:
1 Cd 0.500 0.500 0.250
2 Li 0.500 0.500 0.750
3 Re 0.000 0.000 0.991
4 Re 0.000 0.000 0.509

Values from the calculation:
As for the final energy: -6.368 eV per atom. For the formation energy, the calculation gives 0.56 eV per atom.

=====

# 3
This record from Alexandria describes crystalline KTc2Rh at its relaxed geometry. The functional is PBE.

abc: 4.641 4.641 6.955
angles: 83.27 83.27 35.90
Sites, in units of the cell vectors:
1 K 0.505 0.505 0.487
2 Rh 0.276 0.276 0.162
3 Tc 0.997 0.997 0.976
4 Tc 0.722 0.722 0.874

Values from the calculation:
The calculation puts the energy above the most stable polymorph in this dataset at 181 meV per atom. As for the final energy: -6.551 eV per atom. For the formation energy, the calculation gives 0.74 eV per atom.

=====

# 4
This record from Alexandria describes crystalline Ac4HgGe at its relaxed geometry. The functional is PBE.

abc: 7.920 7.832 7.880
angles: 90.00 90.99 90.00
Sites, in units of the cell vectors:
1 Ac 0.854 0.652 0.162
2 Ac 0.646 0.152 0.838
3 Ac 0.332 0.339 0.353
4 Ac 0.168 0.839 0.647
5 Ac 0.146 0.348 0.838
6 Ac 0.354 0.848 0.162
7 Ac 0.668 0.661 0.647
8 Ac 0.832 0.161 0.353
9 Hg 0.000 0.000 0.000
10 Hg 0.500 0.500 0.000
11 Ge 0.500 0.000 0.500
12 Ge 0.000 0.500 0.500

Values from the calculation:
As for the final energy: -3.830 eV per atom. For the formation energy, the calculation gives -0.27 eV per atom.